No. 1
Here is a geometry-optimized HoTiCoRu structure from Alexandria via LeMat-Bulk. Energies are from GGA-PBE.

## Properties
**Total energy**: -30.11 eV per cell
**Calculated formation energy**: -313 meV per atom

Cell: 4.5214 4.5214 4.5214 Å, 60.00 60.00 60.00°
Last column: nearest neighbours and their distance in Å.
Element x y z (fractional)
Ho: 0.0000 0.0000 0.0000  4 Co 2.77, 4 Ru 2.77
Ti: 0.5000 0.5000 0.5000  4 Co 2.77, 4 Ru 2.77
Co: 0.2500 0.2500 0.2500  4 Ho 2.77, 4 Ti 2.77
Ru: 0.7500 0.7500 0.7500  4 Ho 2.77, 4 Ti 2.77

---

No. 2
Here is a geometry-optimized KTe2Pb structure from Alexandria via LeMat-Bulk. Energies are from GGA-PBE.

## Properties
**Total energy**: -12.75 eV per cell

Cell: 7.0077 7.0077 7.0077 Å, 144.75 135.54 57.96°
Last column: nearest neighbours and their distance in Å.
Element x y z (fractional)
K: 0.0000 0.0000 0.0000  6 Te 3.42-3.70
Te: 0.4648 0.4648 0.0000  2 Pb 3.17, 4 K 3.42
Te: 0.7101 0.2101 0.5000  4 Pb 3.48, 2 Te 3.68, 2 K 3.70
Pb: 0.2730 0.7730 0.5000  6 Te 3.17-3.48

---

No. 3
Here is a geometry-optimized PuSiTe2 structure from Alexandria via LeMat-Bulk. Energies are from GGA-PBE.

## Properties
**Total energy**: -25.61 eV per cell

Cell: 9.6626 9.6626 9.6626 Å, 23.07 23.07 23.07°
Last column: nearest neighbours and their distance in Å.
Element x y z (fractional)
Pu: 0.0000 0.0000 0.0000  2 Te 3.08
Si: 0.5000 0.5000 0.5000  6 Te 2.76
Te: 0.1092 0.1092 0.1092  3 Si 2.76, 1 Pu 3.08
Te: 0.8908 0.8908 0.8908  3 Si 2.76, 1 Pu 3.08

---

No. 4
Here is a geometry-optimized Ce2PrNd structure from Alexandria via LeMat-Bulk. Energies are from GGA-PBE.

## Properties
**Total energy**: -20.31 eV per cell
**Calculated formation energy**: 276 meV per atom

Cell: 5.7554 5.7554 5.7554 Å, 60.00 60.00 60.00°
Last column: nearest neighbours and their distance in Å.
Element x y z (fractional)
Ce: 0.2500 0.2500 0.2500  4 Pr 3.52, 4 Nd 3.52
Ce: 0.7500 0.7500 0.7500  4 Pr 3.52, 4 Nd 3.52
Pr: 0.0000 0.0000 0.0000  8 Ce 3.52
Nd: 0.5000 0.5000 0.5000  8 Ce 3.52

---

No. 5
Here is a geometry-optimized DyTm5Al2 structure from Alexandria via LeMat-Bulk. Energies are from GGA-PBE.

## Properties
**Total energy**: -35.25 eV per cell
**Calculated formation energy**: -101 meV per atom

Cell: 8.1691 8.1691 8.1691 Å, 155.43 103.64 81.65°
Last column: nearest neighbours and their distance in Å.
Element x y z (fractional)
Dy: 0.0000 0.0000 0.0000  4 Al 3.47, 2 Dy 3.48, 8 Tm 3.67
Tm: 0.1366 0.3638 0.7728  3 Al 3.05-3.24, 5 Tm 3.34-3.37
Tm: 0.4090 0.6362 0.7728  3 Al 3.05-3.24, 5 Tm 3.34-3.37
Tm: 0.5000 0.0000 0.5000  2 Al 3.18, 10 Tm 3.34-3.48
Tm: 0.5910 0.3638 0.2272  3 Al 3.05-3.24, 5 Tm 3.34-3.37
Tm: 0.8634 0.6362 0.2272  3 Al 3.05-3.24, 5 Tm 3.34-3.37
Al: 0.2427 0.7427 0.5000  7 Tm 3.05-3.24
Al: 0.7573 0.2573 0.5000  7 Tm 3.05-3.24

---

No. 6
Here is a geometry-optimized ErB4Ir4 structure from Alexandria via LeMat-Bulk. Energies are from GGA-PBE.

## Properties
**Total energy**: -143.18 eV per cell
**Calculated formation energy**: -542 meV per atom

Cell: 7.6268 7.6268 3.9906 Å, 90.00 90.00 90.00°
Last column: nearest neighbours and their distance in Å.
Element x y z (fractional)
Er: 0.2500 0.2500 0.2500  8 B 2.88-3.15, 4 Ir 3.13
Er: 0.7500 0.7500 0.7500  8 B 2.88-3.15, 4 Ir 3.13
B: 0.0271 0.9072 0.1375  1 B 1.84
B: 0.0928 0.5271 0.6375  1 B 1.84
B: 0.4072 0.9729 0.6375  1 B 1.84
B: 0.4729 0.5928 0.1375  1 B 1.84
B: 0.5271 0.4072 0.8625  1 B 1.84
B: 0.5928 0.0271 0.3625  1 B 1.84
B: 0.9072 0.4729 0.3625  1 B 1.84
B: 0.9729 0.0928 0.8625  1 B 1.84
Ir: 0.0895 0.6406 0.1358  4 B 2.09-2.18
Ir: 0.1406 0.9105 0.6358  4 B 2.09-2.18
Ir: 0.3594 0.5895 0.6358  4 B 2.09-2.18
Ir: 0.4105 0.8594 0.1358  4 B 2.09-2.18
Ir: 0.5895 0.1406 0.8642  4 B 2.09-2.18
Ir: 0.6406 0.4105 0.3642  4 B 2.09-2.18
Ir: 0.8594 0.0895 0.3642  4 B 2.09-2.18
Ir: 0.9105 0.3594 0.8642  4 B 2.09-2.18

---

No. 7
Here is a geometry-optimized LaAsOs2 structure from Alexandria via LeMat-Bulk. Energies are from GGA-PBE.

## Properties
**Total energy**: -30.37 eV per cell
**Calculated formation energy**: 417 meV per atom

Cell: 4.2633 4.2633 4.0590 Å, 90.00 90.00 90.00°
Last column: nearest neighbours and their distance in Å.
Element x y z (fractional)
La: 0.0000 0.0000 0.0000  8 Os 2.94, 4 As 3.01
As: 0.5000 0.5000 0.0000  8 Os 2.94, 4 La 3.01
Os: 0.0000 0.5000 0.5000  4 As 2.94, 4 La 2.94, 4 Os 3.01
Os: 0.5000 0.0000 0.5000  4 As 2.94, 4 La 2.94, 4 Os 3.01

---

No. 8
Here is a geometry-optimized Ac2Pr3Ho6 structure from Alexandria via LeMat-Bulk. Energies are from GGA-PBE.

## Properties
**Total energy**: -47.96 eV per cell
**Calculated formation energy**: 188 meV per atom

Cell: 6.2789 6.2789 12.0093 Å, 94.99 94.99 120.06°
Last column: nearest neighbours and their distance in Å.
Element x y z (fractional)
Ac: 0.1668 0.8332 0.0000  3 Ac 3.62-3.63, 6 Ho 3.68-3.69
Ac: 0.8332 0.1668 0.0000  3 Ac 3.62-3.63, 6 Ho 3.68-3.69
Pr: 0.0000 0.0000 0.5000  6 Ho 3.56, 6 Pr 3.61-3.65
Pr: 0.3354 0.6646 0.5000  6 Ho 3.55-3.58, 6 Pr 3.58-3.65
Pr: 0.6646 0.3354 0.5000  6 Ho 3.55-3.58, 6 Pr 3.58-3.65
Ho: 0.0820 0.4143 0.7437  3 Pr 3.56-3.58, 6 Ho 3.61-3.63, 2 Ac 3.68-3.69
Ho: 0.2534 0.2534 0.2564  3 Pr 3.55-3.56, 6 Ho 3.61-3.63, 2 Ac 3.69
Ho: 0.4143 0.0820 0.7437  3 Pr 3.56-3.58, 6 Ho 3.61-3.63, 2 Ac 3.68-3.69
Ho: 0.5857 0.9180 0.2563  3 Pr 3.56-3.58, 6 Ho 3.61-3.63, 2 Ac 3.68-3.69
Ho: 0.7466 0.7466 0.7436  3 Pr 3.55-3.56, 6 Ho 3.61-3.63, 2 Ac 3.69
Ho: 0.9180 0.5857 0.2563  3 Pr 3.56-3.58, 6 Ho 3.61-3.63, 2 Ac 3.68-3.69

---

No. 9
Here is a geometry-optimized SbPd3Au2 structure from Alexandria via LeMat-Bulk. Energies are from GGA-PBE.

## Properties
**Total energy**: -27.60 eV per cell

Cell: 6.6835 6.6835 3.8231 Å, 90.00 90.00 142.52°
Last column: nearest neighbours and their distance in Å.
Element x y z (fractional)
Sb: 0.0000 0.0000 0.0000  8 Pd 2.77-2.87, 4 Au 3.08
Pd: 0.1584 0.8416 0.5000  2 Sb 2.77, 6 Au 2.86-2.88, 2 Pd 2.94
Pd: 0.5000 0.5000 0.5000  4 Sb 2.87, 4 Au 2.92, 4 Pd 2.94
Pd: 0.8416 0.1584 0.5000  2 Sb 2.77, 6 Au 2.86-2.88, 2 Pd 2.94
Au: 0.3259 0.6741 0.0000  8 Pd 2.86-2.92, 2 Au 2.88, 2 Sb 3.08
Au: 0.6741 0.3259 0.0000  8 Pd 2.86-2.92, 2 Au 2.88, 2 Sb 3.08

---

No. 10
Here is a geometry-optimized Ho3Tl3BiTe8 structure from Alexandria via LeMat-Bulk. Energies are from GGA-PBE.

## Properties
**Total energy**: -62.49 eV per cell

Cell: 8.8871 8.8871 9.5129 Å, 117.89 117.89 59.97°
Last column: nearest neighbours and their distance in Å.
Element x y z (fractional)
Ho: 0.0000 0.0000 0.0000  6 Te 3.07-3.09
Ho: 0.0000 0.5000 0.0000  6 Te 3.07-3.09
Ho: 0.5000 0.0000 0.0000  6 Te 3.07-3.09
Tl: 0.0000 0.5000 0.5000  6 Te 3.43-3.45
Tl: 0.5000 0.0000 0.5000  6 Te 3.43-3.45
Tl: 0.5000 0.5000 0.5000  6 Te 3.43-3.45
Bi: 0.5000 0.5000 0.0000  6 Te 3.16
Te: 0.2294 0.7443 0.2177  2 Ho 3.07, 1 Bi 3.16
Te: 0.2387 0.2387 0.2161  3 Ho 3.09, 3 Tl 3.43
Te: 0.2558 0.2558 0.7823  2 Ho 3.07, 1 Bi 3.16
Te: 0.2557 0.7706 0.7823  2 Ho 3.07, 1 Bi 3.16
Te: 0.7443 0.2294 0.2177  2 Ho 3.07, 1 Bi 3.16
Te: 0.7442 0.7442 0.2177  2 Ho 3.07, 1 Bi 3.16
Te: 0.7613 0.7613 0.7839  3 Ho 3.09, 3 Tl 3.43
Te: 0.7706 0.2557 0.7823  2 Ho 3.07, 1 Bi 3.16

---

No. 11
Here is a geometry-optimized CoRe2Ru structure from Alexandria via LeMat-Bulk. Energies are from GGA-PBE.

## Properties
**Total energy**: -40.45 eV per cell
**Calculated formation energy**: 207 meV per atom

Cell: 3.1084 3.1084 5.7034 Å, 90.00 90.00 90.00°
Last column: nearest neighbours and their distance in Å.
Element x y z (fractional)
Co: 0.0000 0.0000 0.0000  5 Re 2.46-2.69, 4 Ru 2.63
Re: 0.0000 0.0000 0.4722  2 Co 2.69-3.01, 4 Ru 2.70, 4 Re 2.71
Re: 0.5000 0.5000 0.1942  4 Co 2.46, 1 Ru 2.55, 4 Re 2.71
Ru: 0.5000 0.5000 0.7466  5 Re 2.55-2.70, 4 Co 2.63

---

No. 12
Here is a geometry-optimized AcPmPu2O8 structure from Alexandria via LeMat-Bulk. Energies are from GGA-PBE.

## Properties
**Total energy**: -110.72 eV per cell

Cell: 6.5565 6.5565 6.5565 Å, 108.85 108.85 110.72°
Last column: nearest neighbours and their distance in Å.
Element x y z (fractional)
Ac: 0.0000 0.0000 0.0000  8 O 2.51-2.69
Pm: 0.2500 0.7500 0.5000  8 O 2.43-2.58
Pu: 0.5000 0.5000 0.0000  4 O 2.02
Pu: 0.7500 0.2500 0.5000  4 O 2.01
O: 0.3064 0.1207 0.8143  1 Pu 2.02
O: 0.3064 0.4921 0.1857  1 Pu 2.02
O: 0.3726 0.0464 0.3263  1 Pu 2.01
O: 0.5079 0.6936 0.8143  1 Pu 2.02
O: 0.7201 0.0464 0.6737  1 Pu 2.01
O: 0.8793 0.6936 0.1857  1 Pu 2.02
O: 0.9536 0.2799 0.3263  1 Pu 2.01
O: 0.9536 0.6274 0.6737  1 Pu 2.01